Run A
TaSiHgO | GGA-PBE | optimized geometry

The structure in extended XYZ format:
```
8
Lattice="-7.887 4.696 -2.766 -0.097 -1.636 -2.500 -2.110 -3.942 2.661" Properties=species:S:1:pos:R:3 pbc="T T T"
O -5.792 2.368 -1.324
O -6.896 -0.421 -1.244
Hg -2.824 1.191 -0.670
Hg -3.927 -1.598 -0.589
Si -1.291 -2.630 -0.016
Si -2.298 -3.783 2.565
Ta -6.551 2.629 -3.252
Ta -7.558 1.476 -0.672
```

Output
Total moment (Bohr magnetons per cell): 0.00



Run B
TaSiHgO | GGA-PBE | optimized geometry

The structure in extended XYZ format:
```
4
Lattice="2.857 0.000 0.000 0.000 5.330 0.000 0.000 0.000 5.311" Properties=species:S:1:pos:R:3 pbc="T T T"
O 1.428 0.000 2.728
Ta 0.000 0.000 1.113
Si 1.428 0.000 4.385
Hg 1.428 2.665 0.866
```

Output
Total moment (Bohr magnetons per cell): 0.34



Which of them is the least stable? Correct choice: run B.



Run A
TaSiHgO | GGA-PBE | optimized geometry

The structure in extended XYZ format:
```
4
Lattice="2.967 0.000 0.000 -1.484 2.570 0.000 0.000 0.000 9.263" Properties=species:S:1:pos:R:3 pbc="T T T"
Ta 1.484 0.857 1.870
O 0.000 0.000 3.080
Hg 0.000 0.000 6.087
Si 0.000 0.000 8.969
```

Output
Total moment (Bohr magnetons per cell): 0.00



Run B
TaSiHgO | GGA-PBE | optimized geometry

The structure in extended XYZ format:
```
4
Lattice="-1.199 -2.380 0.860 -1.220 -0.993 -4.459 4.848 -2.327 0.284" Properties=species:S:1:pos:R:3 pbc="T T T"
O 1.452 -4.253 -2.344
Ta 3.785 -2.828 0.304
Si 2.828 -4.601 -1.382
Hg 0.620 -2.953 0.152
```

Output
Total moment (Bohr magnetons per cell): 0.00



Run C
TaSiHgO | GGA-PBE | optimized geometry

The structure in extended XYZ format:
```
8
Lattice="5.073 0.000 0.026 0.000 2.824 0.000 -1.836 0.000 11.408" Properties=species:S:1:pos:R:3 pbc="T T T"
Ta 3.602 0.000 1.444
Ta 2.684 1.412 7.148
Hg 4.321 1.412 3.845
Hg 3.403 0.000 9.549
O 1.228 0.000 6.593
O 2.146 1.412 0.889
Si 0.474 1.412 0.496
Si -0.444 0.000 6.200
```

Output
Total moment (Bohr magnetons per cell): 0.00



Run D
TaSiHgO | GGA-PBE | optimized geometry

The structure in extended XYZ format:
```
8
Lattice="7.071 0.000 0.004 0.000 2.873 0.000 -0.123 0.000 6.615" Properties=species:S:1:pos:R:3 pbc="T T T"
Ta 2.190 0.000 5.805
Ta 2.252 1.437 2.498
Hg 4.530 1.437 4.565
Hg 4.592 0.000 1.257
O 1.387 0.000 1.126
O 1.326 1.437 4.433
Si 6.886 1.437 3.435
Si 6.948 0.000 0.128
```

Output
Total moment (Bohr magnetons per cell): 0.00



Which of them is the least stable? Correct choice: run D.



Run A
Sm5Hg2O | GGA-PBE | optimized geometry

The structure in extended XYZ format:
```
16
Lattice="3.753 0.000 0.000 -1.876 10.196 0.000 0.000 0.000 13.080" Properties=species:S:1:pos:R:3 pbc="T T T"
O 0.000 2.712 3.270
O 1.876 7.483 9.810
Sm 1.876 3.778 7.223
Sm 1.876 3.778 12.397
Sm 0.000 6.418 5.857
Sm 0.000 6.418 0.683
Sm 0.000 1.529 1.361
Sm 0.000 1.529 5.179
Sm 0.000 6.122 9.810
Sm 1.876 4.074 3.270
Sm 1.876 8.667 7.900
Sm 1.876 8.667 11.719
Hg 0.000 1.546 11.214
Hg 1.876 8.649 1.866
Hg 1.876 8.649 4.674
Hg 0.000 1.546 8.406
```

Output
Total moment (Bohr magnetons per cell): 0.00



Run B
Sm5Hg2O | GGA-PBE | optimized geometry

The structure in extended XYZ format:
```
32
Lattice="-0.584 5.450 -4.043 2.686 -4.849 -6.923 -13.342 -3.468 -2.748" Properties=species:S:1:pos:R:3 pbc="T T T"
Sm -8.247 2.719 -6.615
Sm -3.284 -2.864 -9.120
Sm -11.106 -2.973 -5.271
Sm -2.993 -5.586 -7.100
Sm 0.000 0.000 0.000
Sm -8.740 -0.510 -8.030
Sm -8.443 -3.206 -11.707
Sm -2.797 0.339 -2.007
Sm -0.134 0.106 -8.443
Sm -10.585 -3.460 -8.874
Sm -5.620 -1.433 -6.857
Sm -5.328 -4.158 -4.835
Sm -10.877 -0.738 -10.894
Sm -0.655 0.593 -4.840
Sm -7.956 -0.003 -4.595
Sm -0.292 2.725 -2.022
Sm -4.823 1.660 -5.671
Sm -2.500 -2.357 -5.684
Sm -0.363 -2.129 -2.820
Sm -6.417 -4.527 -8.044
Hg -11.802 -0.459 -7.519
Hg -5.037 -1.090 -3.610
Hg -2.803 3.120 -3.994
Hg -6.203 -1.777 -10.104
Hg -3.060 0.280 -7.786
Hg -8.438 -5.987 -9.720
Hg 0.561 -2.408 -6.195
Hg -8.180 -3.147 -5.929
O -10.947 -3.160 -11.283
O -6.912 0.663 -6.714
O -4.328 -3.530 -7.001
O -0.293 0.293 -2.431
```

Output
Total moment (Bohr magnetons per cell): 0.00



Which of them is the least stable? Correct choice: run A.



Run A
SnHg2O | GGA-PBE | optimized geometry

The structure in extended XYZ format:
```
4
Lattice="-0.451 0.787 4.830 -3.968 2.309 1.753 -3.348 -2.493 2.594" Properties=species:S:1:pos:R:3 pbc="T T T"
Hg -5.825 0.453 6.883
Hg -1.942 0.151 2.294
O 0.000 0.000 0.000
Sn -3.884 0.302 4.589
```

Output
Total moment (Bohr magnetons per cell): 0.00



Run B
SnHg2O | GGA-PBE | optimized geometry

The structure in extended XYZ format:
```
8
Lattice="6.743 0.000 0.000 0.000 6.743 0.000 3.371 3.371 4.182" Properties=species:S:1:pos:R:3 pbc="T T T"
Hg 5.057 5.516 3.137
Hg 4.598 1.686 1.046
Hg 2.144 5.057 1.046
Hg 8.428 7.970 3.137
O 3.371 6.743 2.091
O 3.371 3.371 0.000
Sn 6.743 3.371 2.091
Sn 0.000 0.000 0.000
```

Output
Total moment (Bohr magnetons per cell): 0.00



Which of them is the least stable? Correct choice: run A.



Run A
SnHg2O4 | GGA-PBE | optimized geometry

The structure in extended XYZ format:
```
7
Lattice="3.374 0.000 0.000 0.000 5.445 -0.154 -1.687 -2.821 5.900" Properties=species:S:1:pos:R:3 pbc="T T T"
O 0.000 1.425 5.152
O 1.687 1.199 0.594
O 1.687 -1.790 4.119
O 0.000 4.414 1.627
Hg 1.687 2.615 2.133
Hg 0.000 0.009 3.613
Sn 0.000 0.000 0.000
```

Output
Total moment (Bohr magnetons per cell): 0.00



Run B
SnHg2O4 | GGA-PBE | optimized geometry

The structure in extended XYZ format:
```
7
Lattice="4.102 0.000 0.000 0.000 4.102 0.000 2.051 2.051 6.020" Properties=species:S:1:pos:R:3 pbc="T T T"
O 2.051 2.051 3.957
O 4.102 4.102 2.063
O 0.000 2.051 0.000
O 2.051 0.000 0.000
Hg 4.102 4.102 4.203
Hg 2.051 2.051 1.817
Sn 0.000 0.000 0.000
```

Output
Total moment (Bohr magnetons per cell): 0.00



Which of them is the least stable? Correct choice: run B.



Run A
SrHg3O | GGA-PBE | optimized geometry

The structure in extended XYZ format:
```
5
Lattice="-4.676 -4.129 -1.692 -0.127 -2.326 6.029 -4.460 4.395 1.602" Properties=species:S:1:pos:R:3 pbc="T T T"
O -4.632 -1.030 2.970
Hg -2.230 2.198 0.801
Hg -2.338 -2.064 -0.846
Hg -0.064 -1.163 3.015
Sr 0.000 0.000 0.000
```

Output
Total moment (Bohr magnetons per cell): 0.00



Run B
SrHg3O | GGA-PBE | optimized geometry

The structure in extended XYZ format:
```
5
Lattice="5.090 0.000 0.000 0.000 5.090 0.000 0.000 0.000 5.090" Properties=species:S:1:pos:R:3 pbc="T T T"
Hg 2.545 0.000 0.000
Hg 0.000 0.000 2.545
Hg 0.000 2.545 0.000
Sr 2.545 2.545 2.545
O 0.000 0.000 0.000
```

Output
Total moment (Bohr magnetons per cell): 0.21



Which of them is the least stable? Correct choice: run A.



Run A
Sr2HgO | GGA-PBE | optimized geometry

The structure in extended XYZ format:
```
4
Lattice="-2.484 -1.871 4.306 -4.099 -3.336 -0.538 0.534 -5.106 1.365" Properties=species:S:1:pos:R:3 pbc="T T T"
Sr -4.537 -7.735 3.850
Sr -1.512 -2.578 1.283
Hg -3.025 -5.156 2.567
O 0.000 0.000 0.000
```

Output
Total moment (Bohr magnetons per cell): 0.00



Run B
Sr2HgO | GGA-PBE | optimized geometry

The structure in extended XYZ format:
```
4
Lattice="3.778 0.000 0.000 1.889 3.272 0.000 1.889 1.091 9.554" Properties=species:S:1:pos:R:3 pbc="T T T"
O 3.778 2.181 4.777
Sr 1.889 1.091 6.240
Sr 5.667 3.272 3.314
Hg 0.000 0.000 0.000
```

Output
Total moment (Bohr magnetons per cell): 0.77



Which of them is the least stable? Correct choice: run A.



Run A
Sr2HgO3 | GGA-PBE | optimized geometry

The structure in extended XYZ format:
```
6
Lattice="3.518 0.000 0.000 0.000 4.312 0.000 -1.759 -2.156 6.879" Properties=species:S:1:pos:R:3 pbc="T T T"
O 0.000 0.000 2.352
O 0.000 2.156 0.000
O 1.759 2.156 4.527
Hg 0.000 0.000 0.000
Sr 0.000 0.000 4.767
Sr 1.759 2.156 2.112
```

Output
Total moment (Bohr magnetons per cell): 0.00



Run B
Sr2HgO3 | GGA-PBE | optimized geometry

The structure in extended XYZ format:
```
12
Lattice="6.234 0.343 2.929 1.527 6.019 2.508 -0.259 0.343 6.883" Properties=species:S:1:pos:R:3 pbc="T T T"
Sr 2.296 3.964 5.335
Sr 2.922 0.954 3.235
Sr 5.205 2.742 6.984
Sr 4.579 5.752 9.084
O 2.968 5.885 3.881
O 1.323 2.875 3.164
O 4.015 4.858 6.858
O 6.179 3.830 9.155
O 3.487 1.848 5.461
O 4.534 0.821 8.437
Hg 0.432 1.848 7.321
Hg 7.069 4.858 4.998
```

Output
Total moment (Bohr magnetons per cell): 0.12



Which of them is the least stable? Correct choice: run A.



Run A
Ta2Hg2O7 | GGA-PBE | optimized geometry

The structure in extended XYZ format:
```
11
Lattice="-4.918 0.215 -2.767 -2.207 -3.524 4.413 -0.117 5.891 1.430" Properties=species:S:1:pos:R:3 pbc="T T T"
O 0.000 0.000 0.000
O -1.928 1.039 1.927
O -5.314 1.543 1.148
O -4.406 -0.752 -0.060
O -3.746 2.225 -1.004
O -3.497 0.357 4.079
O -2.836 3.334 3.136
Ta -2.241 1.768 4.009
Ta -5.001 0.814 -0.934
Hg -3.208 3.154 0.947
Hg -4.035 -0.572 2.128
```

Output
Total moment (Bohr magnetons per cell): 0.00



Run B
Ta2Hg2O7 | GGA-PBE | optimized geometry

The structure in extended XYZ format:
```
22
Lattice="6.498 0.000 3.752 2.166 6.127 3.752 0.000 0.000 7.503" Properties=species:S:1:pos:R:3 pbc="T T T"
O 0.534 0.377 3.752
O 3.798 2.686 3.752
O 4.332 3.063 7.503
O 7.032 4.972 7.503
O 2.982 0.377 5.165
O 1.632 1.154 7.503
O 2.982 4.972 9.842
O 2.982 0.377 2.338
O 6.498 4.595 11.255
O 5.682 1.154 9.842
O 1.350 2.686 2.338
O 2.982 4.972 5.165
O 5.682 1.154 5.165
O 1.350 2.686 5.165
Hg 5.415 3.829 9.379
Hg 2.166 3.829 7.503
Hg 5.415 3.829 5.628
Hg 4.332 0.766 7.503
Ta 2.166 3.829 3.752
Ta 4.332 0.766 3.752
Ta 1.083 0.766 1.876
Ta 1.083 0.766 5.628
```

Output
Total moment (Bohr magnetons per cell): 0.00



Which of them is the least stable? Correct choice: run A.



Run A
Ta2HgO2 | GGA-PBE | optimized geometry

The structure in extended XYZ format:
```
10
Lattice="-5.939 -3.486 -1.814 1.198 -4.737 5.181 -1.444 1.549 1.750" Properties=species:S:1:pos:R:3 pbc="T T T"
O -3.507 -2.674 -0.525
O -0.209 -2.227 1.798
O -4.532 -5.996 1.569
O -1.235 -5.548 3.893
Hg -2.371 -4.111 1.684
Hg 0.000 0.000 0.000
Ta -3.503 -5.528 4.160
Ta -0.793 -2.757 3.942
Ta -2.682 -1.145 0.957
Ta -5.392 -3.917 1.176
```

Output
Total moment (Bohr magnetons per cell): 0.00



Run B
Ta2HgO2 | GGA-PBE | optimized geometry

The structure in extended XYZ format:
```
5
Lattice="-2.458 -1.715 -2.766 -1.847 -2.119 2.955 -5.193 1.524 0.662" Properties=species:S:1:pos:R:3 pbc="T T T"
O -3.250 -0.675 0.299
O -6.248 -1.635 0.552
Hg 0.000 0.000 0.000
Ta -4.902 -1.054 -1.005
Ta -4.596 -1.256 1.856
```

Output
Total moment (Bohr magnetons per cell): 0.00



Which of them is the least stable? Correct choice: run A.



Run A
TaHg3O | GGA-PBE | optimized geometry

The structure in extended XYZ format:
```
5
Lattice="4.678 0.000 0.000 0.000 4.678 0.000 0.000 0.000 4.678" Properties=species:S:1:pos:R:3 pbc="T T T"
O 0.000 0.000 0.000
Hg 2.339 0.000 0.000
Hg 0.000 2.339 0.000
Hg 0.000 0.000 2.339
Ta 2.339 2.339 2.339
```

Output
Total moment (Bohr magnetons per cell): 2.39



Run B
TaHg3O | GGA-PBE | optimized geometry

The structure in extended XYZ format:
```
5
Lattice="5.409 0.000 0.000 0.000 5.409 0.000 0.000 0.000 5.409" Properties=species:S:1:pos:R:3 pbc="T T T"
O 2.705 2.705 2.705
Hg 2.705 0.000 0.000
Hg 0.000 2.705 0.000
Hg 0.000 0.000 2.705
Ta 0.000 0.000 0.000
```

Output
Total moment (Bohr magnetons per cell): 0.00



Which of them is the least stable? Correct choice: run B.